(1)
A geometry-optimized Sr2P2Ru2C structure, computed with PBE-GGA.

Properties
- final energy (eV/atom) = -6.674
- V (A^3/atom) = 19.24
- ΔE_f (eV per atom) = -0.680
- DOS(E_F) (states/eV/f.u.) = 3.416

Lattice parameters (Å, degrees): 11.2880 4.0111 7.1703 90.00 123.93 90.00
Fractional coordinates of all 14 atoms:
Sr 0.0626 0.0000 0.3177
Sr 0.4374 0.5000 0.6823
Sr 0.5626 0.5000 0.3177
Sr 0.9374 0.0000 0.6823
P 0.1906 0.5000 0.7440
P 0.3094 0.0000 0.2560
P 0.6906 0.0000 0.7440
P 0.8094 0.5000 0.2560
Ru 0.1882 0.5000 0.0715
Ru 0.3118 0.0000 0.9285
Ru 0.6882 0.0000 0.0715
Ru 0.8118 0.5000 0.9285
C 0.0000 0.5000 0.0000
C 0.5000 0.0000 0.0000

***

(2)
A geometry-optimized Tb2P2Ru2C structure, computed with PBE-GGA.

Properties
- final energy (eV/atom) = -7.724
- V (A^3/atom) = 16.68
- ΔE_f (eV per atom) = -0.887
- DOS(E_F) (states/eV/f.u.) = 3.584

Lattice parameters (Å, degrees): 10.9675 3.9484 6.6977 90.00 126.38 90.00
Fractional coordinates of all 14 atoms:
Tb 0.0648 0.0000 0.3076
Tb 0.4352 0.5000 0.6924
Tb 0.5648 0.5000 0.3076
Tb 0.9352 0.0000 0.6924
P 0.1735 0.5000 0.7040
P 0.3265 0.0000 0.2960
P 0.6735 0.0000 0.7040
P 0.8265 0.5000 0.2960
Ru 0.1987 0.5000 0.0869
Ru 0.3013 0.0000 0.9131
Ru 0.6987 0.0000 0.0869
Ru 0.8013 0.5000 0.9131
C 0.0000 0.5000 0.0000
C 0.5000 0.0000 0.0000

***

(3)
A geometry-optimized TcPRu2C structure, computed with PBE-GGA.

Properties
- final energy (eV/atom) = -6.897
- V (A^3/atom) = 17.09
- ΔE_f (eV per atom) = 1.813
- DOS(E_F) (states/eV/f.u.) = 6.582

Lattice parameters (Å, degrees): 4.7291 4.7291 3.8203 90.00 90.00 90.00
Fractional coordinates of all 5 atoms:
Tc 0.0000 0.0000 0.0000
P 0.5000 0.5000 0.5000
Ru 0.0000 0.5000 0.0000
Ru 0.5000 0.0000 0.0000
C 0.0000 0.0000 0.5000